Density functional theory data (SCAN) for CaTi6H4O14 at its PBEsol-relaxed geometry.

CIF file:
```
data_CaTi6H4O14
_chemical_formula_sum 'Ca1 Ti6 H4 O14'
_space_group_name_H-M_alt 'P 1'
_space_group_IT_number 1
_cell_length_a 3.901
_cell_length_b 7.720
_cell_length_c 9.159
_cell_angle_alpha 100.33
_cell_angle_beta 89.48
_cell_angle_gamma 97.46
loop_
_space_group_symop_operation_xyz
'x,y,z'
loop_
_atom_site_label
_atom_site_type_symbol
_atom_site_fract_x
_atom_site_fract_y
_atom_site_fract_z
O1 O 0.309 0.736 0.194
O2 O 0.805 0.747 0.692
O3 O 0.784 0.653 0.968
Ti1 Ti 0.809 0.729 0.167
H1 H 0.990 0.113 0.199
O4 O 0.752 0.517 0.263
O5 O 0.718 0.417 0.549
O6 O 0.873 0.000 0.135
H2 H 0.957 0.003 0.027
H3 H 0.331 0.960 0.876
Ti2 Ti 0.741 0.514 0.788
Ca1 Ca 0.374 0.000 0.383
Ti3 Ti 0.178 0.258 0.832
O7 O 0.272 0.616 0.465
O8 O 0.105 0.001 0.869
O9 O 0.836 0.856 0.394
O10 O 0.207 0.356 0.036
Ti4 Ti 0.781 0.665 0.490
Ti5 Ti 0.194 0.361 0.528
Ti6 Ti 0.244 0.478 0.220
O11 O 0.177 0.161 0.600
H4 H 0.933 0.863 0.767
O12 O 0.191 0.264 0.327
O13 O 0.235 0.487 0.751
O14 O 0.682 0.263 0.820
```

Computed properties:
**Space-group type**: No. 1
**Final energy**: -274.97 eV/cell
**V**: 269 Å³ per cell

=====

Density functional theory data (SCAN) for MgCoSe3 at its PBEsol-relaxed geometry.

CIF file:
```
data_MgCoSe3
_chemical_formula_sum 'Mg1 Co1 Se3'
_space_group_name_H-M_alt 'P 1'
_space_group_IT_number 1
_cell_length_a 4.664
_cell_length_b 4.664
_cell_length_c 4.664
_cell_angle_alpha 90.00
_cell_angle_beta 90.00
_cell_angle_gamma 90.00
loop_
_space_group_symop_operation_xyz
'x,y,z'
loop_
_atom_site_label
_atom_site_type_symbol
_atom_site_fract_x
_atom_site_fract_y
_atom_site_fract_z
Se1 Se 0.000 0.000 0.500
Se2 Se 0.500 0.000 0.000
Se3 Se 0.000 0.500 0.000
Co1 Co 0.000 0.000 0.000
Mg1 Mg 0.500 0.500 0.500
```

Computed properties:
**Space-group type**: No. 221
**Final energy**: -82.34 eV/cell
**V**: 101 Å³ per cell
**ΔE_f (raw)**: 35 meV/atom

=====

Density functional theory data (SCAN) for LaInPt at its PBEsol-relaxed geometry.

CIF file:
```
data_LaInPt
_chemical_formula_sum 'La1 In1 Pt1'
_space_group_name_H-M_alt 'P 1'
_space_group_IT_number 1
_cell_length_a 4.801
_cell_length_b 4.801
_cell_length_c 4.801
_cell_angle_alpha 60.00
_cell_angle_beta 60.00
_cell_angle_gamma 60.00
loop_
_space_group_symop_operation_xyz
'x,y,z'
loop_
_atom_site_label
_atom_site_type_symbol
_atom_site_fract_x
_atom_site_fract_y
_atom_site_fract_z
Pt1 Pt 0.250 0.250 0.250
La1 La 0.500 0.500 0.500
In1 In 0.000 0.000 0.000
```

Computed properties:
**Space-group type**: No. 216
**Final energy**: -149.67 eV/cell
**Energy of formation**: -0.995 eV/atom
**V**: 78 Å³ per cell

=====

Density functional theory data (SCAN) for Ba3CaPd at its PBEsol-relaxed geometry.

CIF file:
```
data_Ba3CaPd
_chemical_formula_sum 'Ba3 Ca1 Pd1'
_space_group_name_H-M_alt 'P 1'
_space_group_IT_number 1
_cell_length_a 6.209
_cell_length_b 6.209
_cell_length_c 6.209
_cell_angle_alpha 90.00
_cell_angle_beta 90.00
_cell_angle_gamma 90.00
loop_
_space_group_symop_operation_xyz
'x,y,z'
loop_
_atom_site_label
_atom_site_type_symbol
_atom_site_fract_x
_atom_site_fract_y
_atom_site_fract_z
Ba1 Ba 0.500 0.000 0.000
Ca1 Ca 0.500 0.500 0.500
Ba2 Ba 0.000 0.500 0.000
Ba3 Ba 0.000 0.000 0.500
Pd1 Pd 0.000 0.000 0.000
```

Computed properties:
**Space-group type**: No. 221
**Final energy**: -162.30 eV/cell
**Energy of formation**: -0.242 eV/atom
**V**: 239 Å³ per cell

=====

Density functional theory data (SCAN) for In3GaO at its PBEsol-relaxed geometry.

CIF file:
```
data_In3GaO
_chemical_formula_sum 'In3 Ga1 O1'
_space_group_name_H-M_alt 'P 1'
_space_group_IT_number 1
_cell_length_a 4.734
_cell_length_b 4.734
_cell_length_c 4.734
_cell_angle_alpha 90.00
_cell_angle_beta 90.00
_cell_angle_gamma 90.00
loop_
_space_group_symop_operation_xyz
'x,y,z'
loop_
_atom_site_label
_atom_site_type_symbol
_atom_site_fract_x
_atom_site_fract_y
_atom_site_fract_z
In1 In 0.000 0.500 0.000
O1 O 0.000 0.000 0.000
In2 In 0.000 0.000 0.500
Ga1 Ga 0.500 0.500 0.500
In3 In 0.500 0.000 0.000
```

Computed properties:
**Space-group type**: No. 221
**Final energy**: -123.26 eV/cell
**V**: 106 Å³ per cell
**ΔE_f (raw)**: -106 meV/atom

=====

Density functional theory data (SCAN) for HfBe2Tc2 at its PBEsol-relaxed geometry.

CIF file:
```
data_HfBe2Tc2
_chemical_formula_sum 'Hf2 Be4 Tc4'
_space_group_name_H-M_alt 'P 1'
_space_group_IT_number 1
_cell_length_a 3.191
_cell_length_b 6.254
_cell_length_c 6.254
_cell_angle_alpha 90.00
_cell_angle_beta 90.00
_cell_angle_gamma 90.00
loop_
_space_group_symop_operation_xyz
'x,y,z'
loop_
_atom_site_label
_atom_site_type_symbol
_atom_site_fract_x
_atom_site_fract_y
_atom_site_fract_z
Tc1 Tc 0.500 0.174 0.674
Tc2 Tc 0.500 0.674 0.826
Tc3 Tc 0.500 0.826 0.326
Be1 Be 0.000 0.114 0.386
Hf1 Hf 0.000 0.500 0.500
Tc4 Tc 0.500 0.326 0.174
Be2 Be 0.000 0.886 0.614
Hf2 Hf 0.000 0.000 0.000
Be3 Be 0.000 0.614 0.114
Be4 Be 0.000 0.386 0.886
```

Computed properties:
**Space-group type**: No. 127
**Final energy**: -287.78 eV/cell
**Energy of formation**: -0.477 eV/atom
**V**: 125 Å³ per cell